[1]
3
Lattice="0.000 3.324 3.324 3.324 0.000 3.324 3.324 3.324 0.000" Properties=species:S:1:pos:R:3 comment="GdTmOs, relaxed, DFT PBE-GGA" formation_enthalpy_0k_ev_per_atom=0.67 relative_energy_ev_per_atom=0.000 pbc="T T T"
Os 4.986 4.986 4.986
Tm 0.000 0.000 0.000
Gd 1.662 1.662 1.662

[2]
3
Lattice="3.431 0.475 3.257 2.286 4.144 0.458 -0.727 2.705 3.842" Properties=species:S:1:pos:R:3 comment="GdUOs, relaxed, DFT PBE-GGA" formation_enthalpy_0k_ev_per_atom=0.22 relative_energy_ev_per_atom=0.000 pbc="T T T"
Os 0.000 0.000 0.000
U 3.742 5.492 5.668
Gd 1.247 1.831 1.889

[3]
3
Lattice="0.000 3.350 3.350 3.350 0.000 3.350 3.350 3.350 0.000" Properties=species:S:1:pos:R:3 comment="GdYOs, relaxed, DFT PBE-GGA" formation_enthalpy_0k_ev_per_atom=0.76 pbc="T T T"
Os 5.025 5.025 5.025
Gd 1.675 1.675 1.675
Y 0.000 0.000 0.000

[4]
3
Lattice="4.246 -1.551 0.303 0.755 -4.407 0.734 1.708 -2.587 -3.304" Properties=species:S:1:pos:R:3 comment="GdZnOs, relaxed, DFT PBE-GGA" formation_enthalpy_0k_ev_per_atom=0.27 relative_energy_ev_per_atom=0.000 pbc="T T T"
Os 0.000 0.000 0.000
Zn 5.032 -6.409 -1.700
Gd 1.677 -2.136 -0.567

[5]
3
Lattice="0.000 3.296 3.296 3.296 0.000 3.296 3.296 3.296 0.000" Properties=species:S:1:pos:R:3 comment="GdP2, relaxed, DFT PBE-GGA" e_tot_ev_per_cell=-16.33 pbc="T T T"
P 1.648 1.648 1.648
P 4.944 4.944 4.944
Gd 0.000 0.000 0.000

[6]
6
Lattice="5.689 1.865 0.458 1.327 4.794 3.363 2.978 -0.689 5.167" Properties=species:S:1:pos:R:3 comment="Gd2P, relaxed, DFT PBE-GGA" relative_energy_ev_per_atom=1.169 pbc="T T T"
P 2.498 1.492 2.247
P 0.000 0.000 0.000
Gd 5.583 1.334 3.936
Gd 4.757 4.075 3.034
Gd 3.402 2.798 5.389
Gd 6.246 3.730 5.618